No. 1
KNbTl2S4 after structural relaxation. Source: Alexandria via LeMat-Bulk, functional PBE.

Results
Magnetic moment   0.000 μB/atom
Uncorrected formation energy   -833 meV per atom

a = 8.9611 Å, b = 9.4284 Å, c = 6.3907 Å
α = 90.00°, β = 90.00°, γ = 90.00°
With the nearest neighbours (Å) after each atom.
Space group Pmn2_1 (No. 31)
One atom of each set of equivalent atoms:
K 0.0000 0.1068 0.0000  5 S 3.09-3.29
Nb 0.0000 0.7948 0.4124  4 S 2.28-2.31
Tl 0.2063 0.3404 0.5269  3 S 2.87-3.21
S 0.0000 0.0294 0.5016  1 Nb 2.28
S 0.0000 0.7810 0.0518  1 Nb 2.31
S 0.2178 0.6802 0.5074  1 Nb 2.31

---

No. 2
K2UNbS6 after structural relaxation. Source: Alexandria via LeMat-Bulk, functional PBE.

Results
Magnetic moment   0.101 μB/atom
Uncorrected formation energy   -1151 meV per atom

a = 7.0453 Å, b = 7.0453 Å, c = 5.2313 Å
α = 90.00°, β = 90.00°, γ = 90.00°
With the nearest neighbours (Å) after each atom.
Space group P4mm (No. 99)
One atom of each set of equivalent atoms:
K 0.0000 0.5000 0.0000  12 S 3.52-3.65
U 0.0000 0.0000 0.5026  6 S 2.57-2.65
Nb 0.5000 0.5000 0.4212  5 S 2.22-2.46
S 0.0000 0.0000 0.0087  2 U 2.58-2.65
S 0.2578 0.2578 0.5103  1 Nb 2.46, 1 U 2.57
S 0.5000 0.5000 0.9968  1 Nb 2.22

---

No. 3
K2NbV2S6 after structural relaxation. Source: Alexandria via LeMat-Bulk, functional PBE.

Results
Magnetic moment   0.000 μB/atom
Uncorrected formation energy   -1055 meV per atom

a = 5.8589 Å, b = 10.3230 Å, c = 7.8822 Å
α = 90.00°, β = 101.71°, γ = 90.00°
With the nearest neighbours (Å) after each atom.
Space group C2/m (No. 12)
One atom of each set of equivalent atoms:
K 0.0000 0.1695 0.0000  6 S 3.09-3.16, 2 K 3.37
Nb 0.0000 0.0000 0.5000  6 S 2.49-2.55
V 0.0000 0.3650 0.5000  4 S 2.30-2.37
S 0.2146 0.5000 0.7044  2 V 2.30, 1 Nb 2.55
S 0.2251 0.1745 0.6776  2 V 2.37-2.61, 1 Nb 2.49

---

No. 4
K3Y3NbS8 after structural relaxation. Source: Alexandria via LeMat-Bulk, functional PBE.

Results
Magnetic moment   0.068 μB/atom
Uncorrected formation energy   -1662 meV per atom

a = 7.8680 Å, b = 7.8680 Å, c = 22.5650 Å
α = 90.00°, β = 90.00°, γ = 120.00°
With the nearest neighbours (Å) after each atom.
Space group R-3m (No. 166, hexagonal axes)
One atom of each set of equivalent atoms:
K 0.0000 0.5000 0.0000  6 S 3.19-3.20
Y 0.0000 0.5000 0.5000  6 S 2.74-2.76
Nb 0.0000 0.0000 0.5000  6 S 2.56
S 0.0000 0.0000 0.2343  3 Y 2.74
S 0.0226 0.5113 0.2305  1 Nb 2.56, 2 Y 2.76

---

No. 5
KNbSb3 after structural relaxation. Source: Alexandria via LeMat-Bulk, functional PBE.

Results
Magnetic moment   0.060 μB/atom
Uncorrected formation energy   1939 meV per atom
E above lowest polymorph   1973 meV/atom

a = 5.5197 Å, b = 5.5197 Å, c = 5.5197 Å
α = 90.00°, β = 90.00°, γ = 90.00°
With the nearest neighbours (Å) after each atom.
Space group Pm-3m (No. 221)
One atom of each set of equivalent atoms:
K 0.0000 0.0000 0.0000  6 Sb 2.76
Nb 0.5000 0.5000 0.5000  12 Sb 3.90
Sb 0.0000 0.0000 0.5000  2 K 2.76

---

No. 6
KNb2Sb2 after structural relaxation. Source: Alexandria via LeMat-Bulk, functional PBE.

Results
Magnetic moment   0.000 μB/atom
Uncorrected formation energy   203 meV per atom
E above lowest polymorph   352 meV/atom

a = 5.3503 Å, b = 5.3503 Å, c = 9.3012 Å
α = 90.00°, β = 90.00°, γ = 90.00°
With the nearest neighbours (Å) after each atom.
Space group I4/mmm (No. 139)
One atom of each set of equivalent atoms:
K 0.0000 0.0000 0.0000  2 Nb 3.44, 8 Sb 3.54
Nb 0.0000 0.0000 0.3700  1 Nb 2.42
Sb 0.0000 0.5000 0.2500  4 Nb 2.90

---

| no. | N(E_F) (states/eV/f.u.) | energy (eV per cell) |
| --- | --- | --- |
| 1 | 0.000 | -78.14 |
| 2 | 5.146 | -59.83 |
| 3 | 6.164 | -133.74 |
| 4 | 4.993 | -272.13 |
| 5 | 8.883 | -13.84 |
| 6 | 3.991 | -56.93 |